Computed, not measured: a geometry-optimized Zr2Be16Ni structure at the GGA-PBE level of DFT.

Lattice parameters (Å, degrees): 7.5563 7.5563 11.0121 90.00 90.00 120.00
Last column: nearest neighbours and their distance in Å.
Space group R3m (No. 160, hexagonal axes)
Inequivalent atoms, fractional coordinates:
Zr: 0.0000 0.0000 0.0000 x3  1 Ni 2.69, 18 Be 2.73-2.89
Zr: 0.0000 0.0000 0.3203 x3  19 Be 2.63-2.90
Be: 0.0000 0.0000 0.5596 x3  1 Ni 2.16, 12 Be 2.31-2.42
Be: 0.0002 0.2835 0.6615 x18  7 Be 2.14-2.37, 1 Ni 2.38
Be: 0.0008 0.5004 0.8175 x9  9 Be 2.19-2.37
Be: 0.0013 0.5007 0.5023 x9  8 Be 2.18-2.40, 1 Ni 2.34
Be: 0.1673 0.3346 0.4934 x9  9 Be 2.14-2.31, 1 Ni 2.31
Ni: 0.0000 0.0000 0.7561 x3  13 Be 2.16-2.38

E_tot, eV for the cell shown: -264.01
Energy relative to the elements, eV per atom: -0.290